No. 1
5
Lattice="5.722 0.000 0.000 0.000 5.722 0.000 0.000 0.000 3.412" Properties=species:S:1:pos:R:3 comment="ZnCdHPb2, optimized geometry, DFT PBE" energy_ev_per_cell=-11.93 crystal_system=tetragonal pbc="T T T"
Zn 0.000 0.000 0.000
Cd 2.861 2.861 1.706
H 0.000 0.000 1.706
Pb 0.000 2.861 0.000
Pb 2.861 0.000 0.000



No. 2
14
Lattice="2.921 0.000 0.000 -1.437 7.565 0.000 -1.456 -2.535 7.169" Properties=species:S:1:pos:R:3 comment="CdH5Pd8, optimized geometry, DFT PBE" energy_ev_per_cell=-61.04 crystal_system=triclinic pbc="T T T"
Cd 0.000 0.000 0.000
H -0.008 0.337 2.483
H 0.001 5.008 1.798
H 0.013 2.056 5.881
H 1.455 2.903 0.292
H 0.026 4.797 4.614
Pd -1.457 0.210 6.341
Pd -1.447 3.092 5.504
Pd 0.001 -1.691 4.787
Pd 0.007 1.103 4.066
Pd 0.018 3.833 3.148
Pd 1.457 -0.840 2.427
Pd 1.473 1.879 1.705
Pd 1.467 4.755 0.720



No. 3
10
Lattice="5.527 0.000 0.000 0.000 5.527 0.000 0.000 0.000 4.444" Properties=species:S:1:pos:R:3 comment="Cd2H2Pd, optimized geometry, DFT PBE" energy_ev_per_cell=-26.75 crystal_system=tetragonal pbc="T T T"
Cd 1.025 1.739 0.000
Cd 1.739 4.502 0.000
Cd 3.788 1.025 0.000
Cd 4.502 3.788 0.000
H 1.330 1.434 2.222
H 1.434 4.197 2.222
H 4.093 1.330 2.222
H 4.197 4.093 2.222
Pd 0.000 0.000 2.222
Pd 2.763 2.763 2.222



No. 4
16
Lattice="1.525 -5.319 0.000 1.525 5.319 0.000 0.000 0.000 13.945" Properties=species:S:1:pos:R:3 comment="Cd3H2Pd3, optimized geometry, DFT PBE" energy_ev_per_cell=-53.38 crystal_system=orthorhombic pbc="T T T"
Cd 1.525 4.712 10.458
Cd 1.525 0.845 8.295
Cd 1.525 0.845 12.622
Cd 1.525 -0.845 1.323
Cd 1.525 -0.845 5.649
Cd 1.525 -4.712 3.486
H 1.525 2.179 1.837
H 1.525 2.179 5.135
H 1.525 -2.179 8.810
H 1.525 -2.179 12.107
Pd 1.525 3.614 7.929
Pd 1.525 3.614 12.988
Pd 1.525 3.074 3.486
Pd 1.525 -3.074 10.458
Pd 1.525 -3.614 0.956
Pd 1.525 -3.614 6.016



No. 5
10
Lattice="6.502 -1.496 0.000 6.502 1.496 0.000 -1.556 0.000 5.750" Properties=species:S:1:pos:R:3 comment="CdH4Pd5, optimized geometry, DFT PBE" energy_ev_per_cell=-41.97 crystal_system=monoclinic pbc="T T T"
Cd 0.000 0.000 0.000
H 1.918 0.000 4.902
H 4.657 0.000 2.633
H 6.790 0.000 3.117
H 9.529 0.000 0.848
Pd -0.778 0.000 2.875
Pd 3.314 0.000 3.824
Pd 4.126 0.000 0.909
Pd 7.321 0.000 4.841
Pd 8.133 0.000 1.926



No. 6
15
Lattice="2.841 1.641 5.053 -2.841 1.641 5.053 0.000 -3.281 5.053" Properties=species:S:1:pos:R:3 comment="CdH8Pd6, optimized geometry, DFT PBE" energy_ev_per_cell=-58.88 crystal_system=trigonal pbc="T T T"
Cd 0.000 0.000 0.000
H -0.960 -1.919 6.922
H -2.142 -0.129 8.238
H 0.000 0.000 5.741
H -1.182 1.791 6.922
H 1.182 -1.791 8.238
H 0.000 0.000 9.419
H 2.142 0.129 6.922
H 0.960 1.919 8.238
Pd -1.682 -0.388 6.404
Pd -0.505 -1.651 8.756
Pd -1.177 1.263 8.756
Pd 1.177 -1.263 6.404
Pd 0.505 1.651 6.404
Pd 1.682 0.388 8.756



No. 7
20
Lattice="5.677 0.000 0.000 0.000 8.279 0.000 0.000 0.000 4.758" Properties=species:S:1:pos:R:3 comment="CdH4Pd5, optimized geometry, DFT PBE" energy_ev_per_cell=-82.51 crystal_system=orthorhombic pbc="T T T"
Cd 1.419 2.070 1.024
Cd 4.258 6.209 3.734
H 0.322 6.209 2.181
H 1.419 4.447 4.261
H 1.419 7.972 4.261
H 2.517 6.209 2.181
H 3.160 2.070 2.577
H 4.258 0.307 0.497
H 4.258 3.832 0.497
H 5.355 2.070 2.577
Pd 0.022 4.790 1.183
Pd 0.022 7.628 1.183
Pd 1.419 6.209 3.622
Pd 2.816 4.790 1.183
Pd 2.816 7.628 1.183
Pd 2.861 0.651 3.576
Pd 2.861 3.488 3.576
Pd 4.258 2.070 1.136
Pd 5.655 0.651 3.576
Pd 5.655 3.488 3.576



No. 8
4
Lattice="1.469 0.848 6.481 -1.469 0.848 6.481 0.000 -1.696 6.481" Properties=species:S:1:pos:R:3 comment="CdH2Pd, optimized geometry, DFT PBE" energy_ev_per_cell=-12.80 crystal_system=trigonal pbc="T T T"
Cd 0.000 0.000 0.000
H 0.000 0.000 2.492
H 0.000 0.000 16.952
Pd 0.000 0.000 9.722



No. 9
5
Lattice="5.220 0.000 0.000 0.000 5.220 0.000 0.000 0.000 5.220" Properties=species:S:1:pos:R:3 comment="Cd3HPd, optimized geometry, DFT PBE" energy_ev_per_cell=-9.07 crystal_system=cubic pbc="T T T"
Cd 0.000 0.000 2.610
Cd 0.000 2.610 0.000
Cd 2.610 0.000 0.000
H 2.610 2.610 2.610
Pd 0.000 0.000 0.000



No. 10
5
Lattice="4.323 0.000 0.000 0.000 4.323 0.000 0.000 0.000 4.323" Properties=species:S:1:pos:R:3 comment="Cd3HPd, optimized geometry, DFT PBE" energy_ev_per_cell=-10.87 crystal_system=cubic pbc="T T T"
Cd 0.000 0.000 2.162
Cd 0.000 2.162 0.000
Cd 2.162 0.000 0.000
H 0.000 0.000 0.000
Pd 2.162 2.162 2.162



No. 11
20
Lattice="7.681 0.000 0.000 0.000 8.779 0.000 0.000 0.000 3.056" Properties=species:S:1:pos:R:3 comment="CdH5Pd4, optimized geometry, DFT PBE" energy_ev_per_cell=-76.82 crystal_system=orthorhombic pbc="T T T"
Cd 1.920 2.195 0.763
Cd 5.761 6.584 2.293
H 0.511 0.775 2.288
H 0.511 3.614 2.288
H 1.920 6.584 2.296
H 3.330 0.775 2.288
H 3.330 3.614 2.288
H 4.351 5.165 0.767
H 4.351 8.004 0.767
H 5.761 2.195 0.760
H 7.170 5.165 0.767
H 7.170 8.004 0.767
Pd 0.474 6.584 0.765
Pd 1.920 4.605 2.291
Pd 1.920 8.564 2.291
Pd 3.366 6.584 0.765
Pd 4.315 2.195 2.291
Pd 5.761 0.215 0.764
Pd 5.761 4.174 0.764
Pd 7.206 2.195 2.291



No. 12
12
Lattice="7.069 -2.476 0.000 7.069 2.476 0.000 -0.353 0.000 4.850" Properties=species:S:1:pos:R:3 comment="CdHPd4, optimized geometry, DFT PBE" energy_ev_per_cell=-51.95 crystal_system=monoclinic pbc="T T T"
Cd 6.804 1.593 3.638
Cd 6.980 -1.593 1.213
H 3.534 1.238 0.000
H 3.358 -1.238 2.425
Pd 2.681 0.743 1.364
Pd 5.547 0.799 1.121
Pd 2.505 -0.743 3.789
Pd 8.413 0.799 1.304
Pd 5.371 -0.799 3.547
Pd 11.280 0.743 1.061
Pd 8.237 -0.799 3.729
Pd 11.103 -0.743 3.487